*P*
# PBE Na3In4Bi2, optimized geometry
data_Na3In4Bi2
_cell_length_a 16.463
_cell_length_b 9.143
_cell_length_c 6.790
_cell_angle_alpha 90.00
_cell_angle_beta 90.01
_cell_angle_gamma 90.00
_symmetry_space_group_name_H-M 'C 1 2/c 1'
_symmetry_Int_Tables_number 15
loop_
_symmetry_equiv_pos_as_xyz
'x,y,z'
'-x,-y,-z'
'-x,y,-z+1/2'
'x,-y,z+1/2'
'x+1/2,y+1/2,z'
'-x+1/2,-y+1/2,-z'
'-x+1/2,y+1/2,-z+1/2'
'x+1/2,-y+1/2,z+1/2'
loop_
_atom_site_label
_atom_site_type_symbol
_atom_site_fract_x
_atom_site_fract_y
_atom_site_fract_z
_atom_site_occupancy
Na1 Na 0.000 0.000 0.250 1
Na2 Na 0.171 0.500 0.250 1
In1 In 0.007 0.338 0.000 1
In2 In 0.167 0.178 0.001 1
Bi1 Bi 0.159 0.163 0.501 1
# **Magnetization**: 0.00 μB per atom
# **Volume**: 1022.0 Å³ per cell

=====

*Q*
# PBE Na3In4Bi2, optimized geometry
data_Na3In4Bi2
_cell_length_a 5.262
_cell_length_b 6.411
_cell_length_c 9.141
_cell_angle_alpha 89.55
_cell_angle_beta 73.28
_cell_angle_gamma 65.79
_symmetry_space_group_name_H-M 'P -1'
_symmetry_Int_Tables_number 2
loop_
_symmetry_equiv_pos_as_xyz
'x,y,z'
'-x,-y,-z'
loop_
_atom_site_label
_atom_site_type_symbol
_atom_site_fract_x
_atom_site_fract_y
_atom_site_fract_z
_atom_site_occupancy
Na1 Na 0.000 0.000 0.000 1
Na2 Na 0.059 0.244 0.637 1
In1 In 0.318 0.380 0.984 1
In2 In 0.361 0.607 0.669 1
Bi1 Bi 0.332 0.078 0.259 1
# **Magnetization**: 0.00 μB per atom
# **Volume**: 267.2 Å³ per cell

=====

Stability ranking, top entry: *Q*; the second entry is 0.019 eV/atom less favorable.

=====

*P*
# PBE Na3InBi, optimized geometry
data_Na3InBi
_cell_length_a 7.544
_cell_length_b 5.194
_cell_length_c 8.035
_cell_angle_alpha 90.00
_cell_angle_beta 103.58
_cell_angle_gamma 90.00
_symmetry_space_group_name_H-M 'P 1 21/m 1'
_symmetry_Int_Tables_number 11
loop_
_symmetry_equiv_pos_as_xyz
'x,y,z'
'-x,-y,-z'
'-x,y+1/2,-z'
'x,-y+1/2,z'
loop_
_atom_site_label
_atom_site_type_symbol
_atom_site_fract_x
_atom_site_fract_y
_atom_site_fract_z
_atom_site_occupancy
Na1 Na 0.140 0.250 0.010 1
Na2 Na 0.336 0.250 0.459 1
Na3 Na 0.348 0.750 0.798 1
In1 In 0.020 0.750 0.405 1
Bi1 Bi 0.325 0.750 0.208 1
# **Magnetization**: 0.00 μB per atom
# **Volume**: 306.1 Å³ per cell

=====

*Q*
# PBE Na3InBi, optimized geometry
data_Na3InBi
_cell_length_a 5.955
_cell_length_b 5.955
_cell_length_c 5.955
_cell_angle_alpha 90.00
_cell_angle_beta 90.00
_cell_angle_gamma 90.00
_symmetry_space_group_name_H-M 'P m -3 m'
_symmetry_Int_Tables_number 221
_symmetry_space_group_name_Hall '-P 4 2 3'
loop_
_atom_site_label
_atom_site_type_symbol
_atom_site_fract_x
_atom_site_fract_y
_atom_site_fract_z
_atom_site_occupancy
Na1 Na 0.000 0.000 0.500 1
In1 In 0.500 0.500 0.500 1
Bi1 Bi 0.000 0.000 0.000 1
# **Magnetization**: 0.00 μB per atom
# **Volume**: 211.2 Å³ per cell

=====

Stability ranking, top entry: *P*; the second entry is 0.316 eV/atom less favorable.

=====

*P*
# PBE Na3InBi, optimized geometry
data_Na3InBi
_cell_length_a 5.699
_cell_length_b 5.699
_cell_length_c 5.699
_cell_angle_alpha 90.00
_cell_angle_beta 90.00
_cell_angle_gamma 90.00
_symmetry_space_group_name_H-M 'P m -3 m'
_symmetry_Int_Tables_number 221
_symmetry_space_group_name_Hall '-P 4 2 3'
loop_
_atom_site_label
_atom_site_type_symbol
_atom_site_fract_x
_atom_site_fract_y
_atom_site_fract_z
_atom_site_occupancy
Na1 Na 0.000 0.000 0.500 1
In1 In 0.000 0.000 0.000 1
Bi1 Bi 0.500 0.500 0.500 1
# **Magnetization**: 0.00 μB per atom
# **Volume**: 185.1 Å³ per cell

=====

*Q*
# PBE Na3InBi, optimized geometry
data_Na3InBi
_cell_length_a 6.211
_cell_length_b 6.379
_cell_length_c 8.649
_cell_angle_alpha 110.87
_cell_angle_beta 96.33
_cell_angle_gamma 97.04
_symmetry_space_group_name_H-M 'P 1'
_symmetry_Int_Tables_number 1
loop_
_symmetry_equiv_pos_as_xyz
'x,y,z'
loop_
_atom_site_label
_atom_site_type_symbol
_atom_site_fract_x
_atom_site_fract_y
_atom_site_fract_z
_atom_site_occupancy
Na1 Na 0.000 0.000 0.000 1
Na2 Na 0.063 0.420 0.703 1
Na3 Na 0.267 0.585 0.234 1
Na4 Na 0.362 0.154 0.393 1
Na5 Na 0.566 0.318 0.925 1
Na6 Na 0.629 0.739 0.627 1
In1 In 0.815 0.370 0.314 1
In2 In 0.815 0.870 0.314 1
Bi1 Bi 0.159 0.905 0.634 1
Bi2 Bi 0.470 0.833 0.994 1
# **Magnetization**: 0.00 μB per atom
# **Volume**: 313.4 Å³ per cell

=====

Stability ranking, top entry: *Q*; the second entry is 0.475 eV/atom less favorable.

=====

*P*
# PBE Na2In3Bi2, optimized geometry
data_Na2In3Bi2
_cell_length_a 4.915
_cell_length_b 23.951
_cell_length_c 3.421
_cell_angle_alpha 90.00
_cell_angle_beta 90.00
_cell_angle_gamma 90.00
_symmetry_space_group_name_H-M 'C m m m'
_symmetry_Int_Tables_number 65
_symmetry_space_group_name_Hall '-C 2 2'
loop_
_atom_site_label
_atom_site_type_symbol
_atom_site_fract_x
_atom_site_fract_y
_atom_site_fract_z
_atom_site_occupancy
Na1 Na 0.000 0.141 0.000 1
In1 In 0.000 0.000 0.000 1
In2 In 0.000 0.433 0.500 1
Bi1 Bi 0.000 0.295 0.500 1
# **Magnetization**: 0.00 μB per atom
# **Volume**: 402.7 Å³ per cell

=====

*Q*
# PBE Na2In3Bi2, optimized geometry
data_Na2In3Bi2
_cell_length_a 11.065
_cell_length_b 4.984
_cell_length_c 7.432
_cell_angle_alpha 90.00
_cell_angle_beta 94.80
_cell_angle_gamma 90.00
_symmetry_space_group_name_H-M 'C 1 2/m 1'
_symmetry_Int_Tables_number 12
loop_
_symmetry_equiv_pos_as_xyz
'x,y,z'
'-x,-y,-z'
'-x,y,-z'
'x,-y,z'
'x+1/2,y+1/2,z'
'-x+1/2,-y+1/2,-z'
'-x+1/2,y+1/2,-z'
'x+1/2,-y+1/2,z'
loop_
_atom_site_label
_atom_site_type_symbol
_atom_site_fract_x
_atom_site_fract_y
_atom_site_fract_z
_atom_site_occupancy
Na1 Na 0.088 0.000 0.233 1
In1 In 0.000 0.500 0.500 1
In2 In 0.126 0.500 0.923 1
Bi1 Bi 0.210 0.000 0.694 1
# **Magnetization**: 0.00 μB per atom
# **Volume**: 408.4 Å³ per cell

=====

Stability ranking, top entry: *Q*; the second entry is 0.030 eV/atom less favorable.

=====

*P*
# PBE Na5InBi4, optimized geometry
data_Na5InBi4
_cell_length_a 18.230
_cell_length_b 3.886
_cell_length_c 9.970
_cell_angle_alpha 90.00
_cell_angle_beta 92.34
_cell_angle_gamma 90.00
_symmetry_space_group_name_H-M 'C 1 2/m 1'
_symmetry_Int_Tables_number 12
loop_
_symmetry_equiv_pos_as_xyz
'x,y,z'
'-x,-y,-z'
'-x,y,-z'
'x,-y,z'
'x+1/2,y+1/2,z'
'-x+1/2,-y+1/2,-z'
'-x+1/2,y+1/2,-z'
'x+1/2,-y+1/2,z'
loop_
_atom_site_label
_atom_site_type_symbol
_atom_site_fract_x
_atom_site_fract_y
_atom_site_fract_z
_atom_site_occupancy
Na1 Na 0.000 0.000 0.000 1
Na2 Na 0.135 0.500 0.312 1
Na3 Na 0.202 0.500 0.850 1
In1 In 0.000 0.000 0.500 1
Bi1 Bi 0.036 0.500 0.743 1
Bi2 Bi 0.194 0.000 0.572 1
# **Magnetization**: 0.00 μB per atom
# **Volume**: 705.7 Å³ per cell

=====

*Q*
# PBE Na5InBi4, optimized geometry
data_Na5InBi4
_cell_length_a 3.431
_cell_length_b 3.431
_cell_length_c 24.511
_cell_angle_alpha 90.00
_cell_angle_beta 90.00
_cell_angle_gamma 90.00
_symmetry_space_group_name_H-M 'P 4/m m m'
_symmetry_Int_Tables_number 123
_symmetry_space_group_name_Hall '-P 4 2'
loop_
_atom_site_label
_atom_site_type_symbol
_atom_site_fract_x
_atom_site_fract_y
_atom_site_fract_z
_atom_site_occupancy
Na1 Na 0.000 0.000 0.000 1
Na2 Na 0.000 0.000 0.200 1
Na3 Na 0.000 0.000 0.399 1
In1 In 0.500 0.500 0.500 1
Bi1 Bi 0.500 0.500 0.101 1
Bi2 Bi 0.500 0.500 0.301 1
# **Magnetization**: 0.00 μB per atom
# **Volume**: 288.6 Å³ per cell

=====

Stability ranking, top entry: *Q*; the second entry is 0.144 eV/atom less favorable.

=====

*P*
# PBE Na3In4Bi4, optimized geometry
data_Na3In4Bi4
_cell_length_a 3.448
_cell_length_b 5.415
_cell_length_c 34.845
_cell_angle_alpha 90.00
_cell_angle_beta 90.00
_cell_angle_gamma 90.00
_symmetry_space_group_name_H-M 'I m m m'
_symmetry_Int_Tables_number 71
_symmetry_space_group_name_Hall '-I 2 2'
loop_
_atom_site_label
_atom_site_type_symbol
_atom_site_fract_x
_atom_site_fract_y
_atom_site_fract_z
_atom_site_occupancy
Na1 Na 0.000 0.000 0.000 1
Na2 Na 0.000 0.500 0.134 1
In1 In 0.000 0.000 0.457 1
In2 In 0.000 0.500 0.321 1
Bi1 Bi 0.000 0.000 0.275 1
Bi2 Bi 0.000 0.500 0.412 1
# **Magnetization**: 0.00 μB per atom
# **Volume**: 650.5 Å³ per cell

=====

*Q*
# PBE Na3In4Bi4, optimized geometry
data_Na3In4Bi4
_cell_length_a 4.723
_cell_length_b 9.922
_cell_length_c 15.520
_cell_angle_alpha 90.00
_cell_angle_beta 90.00
_cell_angle_gamma 90.00
_symmetry_space_group_name_H-M 'I m m m'
_symmetry_Int_Tables_number 71
_symmetry_space_group_name_Hall '-I 2 2'
loop_
_atom_site_label
_atom_site_type_symbol
_atom_site_fract_x
_atom_site_fract_y
_atom_site_fract_z
_atom_site_occupancy
Na1 Na 0.000 0.000 0.000 1
Na2 Na 0.000 0.500 0.121 1
In1 In 0.000 0.289 0.321 1
Bi1 Bi 0.000 0.000 0.216 1
Bi2 Bi 0.000 0.161 0.500 1
# **Magnetization**: 0.00 μB per atom
# **Volume**: 727.3 Å³ per cell

=====

Stability ranking, top entry: *Q*; the second entry is 0.028 eV/atom less favorable.

=====

*P*
# PBE Na2In6Bi, optimized geometry
data_Na2In6Bi
_cell_length_a 13.816
_cell_length_b 4.776
_cell_length_c 7.954
_cell_angle_alpha 90.00
_cell_angle_beta 109.00
_cell_angle_gamma 90.00
_symmetry_space_group_name_H-M 'C 1 2/m 1'
_symmetry_Int_Tables_number 12
loop_
_symmetry_equiv_pos_as_xyz
'x,y,z'
'-x,-y,-z'
'-x,y,-z'
'x,-y,z'
'x+1/2,y+1/2,z'
'-x+1/2,-y+1/2,-z'
'-x+1/2,y+1/2,-z'
'x+1/2,-y+1/2,z'
loop_
_atom_site_label
_atom_site_type_symbol
_atom_site_fract_x
_atom_site_fract_y
_atom_site_fract_z
_atom_site_occupancy
Na1 Na 0.055 0.000 0.325 1
In1 In 0.119 0.500 0.661 1
In2 In 0.169 0.000 0.994 1
In3 In 0.228 0.500 0.337 1
Bi1 Bi 0.000 0.500 0.000 1
# **Magnetization**: 0.00 μB per atom
# **Volume**: 496.2 Å³ per cell

=====

*Q*
# PBE Na2In6Bi, optimized geometry
data_Na2In6Bi
_cell_length_a 15.914
_cell_length_b 9.195
_cell_length_c 3.431
_cell_angle_alpha 90.00
_cell_angle_beta 92.95
_cell_angle_gamma 90.00
_symmetry_space_group_name_H-M 'C 1 2/m 1'
_symmetry_Int_Tables_number 12
loop_
_symmetry_equiv_pos_as_xyz
'x,y,z'
'-x,-y,-z'
'-x,y,-z'
'x,-y,z'
'x+1/2,y+1/2,z'
'-x+1/2,-y+1/2,-z'
'-x+1/2,y+1/2,-z'
'x+1/2,-y+1/2,z'
loop_
_atom_site_label
_atom_site_type_symbol
_atom_site_fract_x
_atom_site_fract_y
_atom_site_fract_z
_atom_site_occupancy
Na1 Na 0.165 0.000 0.001 1
In1 In 0.000 0.169 0.500 1
In2 In 0.166 0.334 0.537 1
Bi1 Bi 0.000 0.500 0.000 1
# **Magnetization**: 0.00 μB per atom
# **Volume**: 501.4 Å³ per cell

=====

Stability ranking, top entry: *P*; the second entry is 0.026 eV/atom less favorable.

=====

*P*
# PBE Na3In2Bi3, optimized geometry
data_Na3In2Bi3
_cell_length_a 8.217
_cell_length_b 4.640
_cell_length_c 27.477
_cell_angle_alpha 90.00
_cell_angle_beta 90.01
_cell_angle_gamma 90.00
_symmetry_space_group_name_H-M 'P 1 m 1'
_symmetry_Int_Tables_number 6
loop_
_symmetry_equiv_pos_as_xyz
'x,y,z'
'x,-y,z'
loop_
_atom_site_label
_atom_site_type_symbol
_atom_site_fract_x
_atom_site_fract_y
_atom_site_fract_z
_atom_site_occupancy
Na1 Na 0.000 0.000 0.000 1
Na2 Na 0.004 0.000 0.317 1
Na3 Na 0.029 0.500 0.118 1
Na4 Na 0.045 0.500 0.431 1
Na5 Na 0.054 0.500 0.774 1
Na6 Na 0.470 0.000 0.610 1
Na7 Na 0.477 0.000 0.953 1
Na8 Na 0.496 0.000 0.268 1
Na9 Na 0.524 0.500 0.471 1
Na10 Na 0.533 0.500 0.155 1
Na11 Na 0.546 0.500 0.819 1
Na12 Na 0.996 0.000 0.657 1
In1 In 0.168 0.500 0.574 1
In2 In 0.176 0.500 0.240 1
In3 In 0.176 0.500 0.916 1
In4 In 0.644 0.500 0.689 1
In5 In 0.646 0.500 0.032 1
In6 In 0.664 0.500 0.346 1
In7 In 0.878 0.000 0.515 1
In8 In 0.879 0.000 0.858 1
Bi1 Bi 0.249 0.000 0.174 1
Bi2 Bi 0.251 0.000 0.507 1
Bi3 Bi 0.257 0.000 0.848 1
Bi4 Bi 0.279 0.500 0.677 1
Bi5 Bi 0.281 0.500 0.019 1
Bi6 Bi 0.301 0.500 0.343 1
Bi7 Bi 0.742 0.000 0.413 1
Bi8 Bi 0.749 0.000 0.092 1
Bi9 Bi 0.755 0.000 0.752 1
Bi10 Bi 0.776 0.500 0.579 1
Bi11 Bi 0.786 0.500 0.924 1
Bi12 Bi 0.803 0.500 0.247 1
# **Magnetization**: 0.00 μB per atom
# **Volume**: 1047.6 Å³ per cell

=====

*Q*
# PBE Na3In2Bi3, optimized geometry
data_Na3In2Bi3
_cell_length_a 4.849
_cell_length_b 13.514
_cell_length_c 15.819
_cell_angle_alpha 90.00
_cell_angle_beta 90.00
_cell_angle_gamma 90.00
_symmetry_space_group_name_H-M 'C m c m'
_symmetry_Int_Tables_number 63
_symmetry_space_group_name_Hall '-C 2c 2'
loop_
_atom_site_label
_atom_site_type_symbol
_atom_site_fract_x
_atom_site_fract_y
_atom_site_fract_z
_atom_site_occupancy
Na1 Na 0.000 0.051 0.117 1
Na2 Na 0.000 0.285 0.250 1
In1 In 0.000 0.251 0.595 1
Bi1 Bi 0.000 0.384 0.061 1
Bi2 Bi 0.000 0.388 0.750 1
# **Magnetization**: 0.00 μB per atom
# **Volume**: 1036.7 Å³ per cell

=====

Stability ranking, top entry: *Q*; the second entry is 0.032 eV/atom less favorable.

=====

*P*
# PBE NbInBi3, optimized geometry
data_NbInBi3
_cell_length_a 5.610
_cell_length_b 5.610
_cell_length_c 5.610
_cell_angle_alpha 90.00
_cell_angle_beta 90.00
_cell_angle_gamma 90.00
_symmetry_space_group_name_H-M 'P m -3 m'
_symmetry_Int_Tables_number 221
_symmetry_space_group_name_Hall '-P 4 2 3'
loop_
_atom_site_label
_atom_site_type_symbol
_atom_site_fract_x
_atom_site_fract_y
_atom_site_fract_z
_atom_site_occupancy
Nb1 Nb 0.000 0.000 0.000 1
In1 In 0.500 0.500 0.500 1
Bi1 Bi 0.000 0.500 0.500 1
# **Magnetization**: 0.02 μB per atom
# **Volume**: 176.5 Å³ per cell

=====

*Q*
# PBE NbInBi3, optimized geometry
data_NbInBi3
_cell_length_a 5.555
_cell_length_b 5.555
_cell_length_c 5.555
_cell_angle_alpha 90.00
_cell_angle_beta 90.00
_cell_angle_gamma 90.00
_symmetry_space_group_name_H-M 'P m -3 m'
_symmetry_Int_Tables_number 221
_symmetry_space_group_name_Hall '-P 4 2 3'
loop_
_atom_site_label
_atom_site_type_symbol
_atom_site_fract_x
_atom_site_fract_y
_atom_site_fract_z
_atom_site_occupancy
Nb1 Nb 0.000 0.000 0.000 1
In1 In 0.500 0.500 0.500 1
Bi1 Bi 0.000 0.000 0.500 1
# **Magnetization**: 0.00 μB per atom
# **Volume**: 171.4 Å³ per cell

=====

Stability ranking, top entry: *Q*; the second entry is 1.080 eV/atom less favorable.

=====

*P*
# PBE NdInBi2, optimized geometry
data_NdInBi2
_cell_length_a 4.307
_cell_length_b 4.307
_cell_length_c 6.626
_cell_angle_alpha 90.00
_cell_angle_beta 90.00
_cell_angle_gamma 90.00
_symmetry_space_group_name_H-M 'P 4/m m m'
_symmetry_Int_Tables_number 123
_symmetry_space_group_name_Hall '-P 4 2'
loop_
_atom_site_label
_atom_site_type_symbol
_atom_site_fract_x
_atom_site_fract_y
_atom_site_fract_z
_atom_site_occupancy
Nd1 Nd 0.000 0.000 0.000 1
In1 In 0.000 0.000 0.500 1
Bi1 Bi 0.500 0.500 0.243 1
# **Magnetization**: 0.00 μB per atom
# **Volume**: 122.9 Å³ per cell

=====

*Q*
# PBE NdInBi2, optimized geometry
data_NdInBi2
_cell_length_a 3.4805
_cell_length_b 3.4805
_cell_length_c 38.0150
_cell_angle_alpha 90.00
_cell_angle_beta 90.00
_cell_angle_gamma 120.00
_symmetry_space_group_name_H-M 'R -3 m'
_symmetry_Int_Tables_number 166
_symmetry_space_group_name_Hall '-R 3 2"'
loop_
_atom_site_label
_atom_site_type_symbol
_atom_site_fract_x
_atom_site_fract_y
_atom_site_fract_z
_atom_site_occupancy
Nd1 Nd 0.0000 0.0000 0.0000 1
In1 In 0.0000 0.0000 0.5000 1
Bi1 Bi 0.0000 0.0000 0.0863 1
# **Magnetization**: 0.00 μB per atom
# **Volume**: 398.8 Å³ per cell

=====

Stability ranking, top entry: *P*; the second entry is 0.535 eV/atom less favorable.